Material: SrTa2Re
Method: DFT, GGA-PBE
State: optimized geometry

The calculation puts the density of states at the Fermi level at 4.391 states/eV per cell. Its space group is Cmmm. For the formation enthalpy at 0 K, the calculation gives 560 meV/atom.

a = 2.952 Å, b = 2.952 Å, c = 10.129 Å
α = 90.00°, β = 90.00°, γ = 111.08°
Atoms (fractional coordinates):
Re 0.500 0.500 0.250
Sr 0.500 0.500 0.750
Ta 0.000 0.000 0.046
Ta 0.000 0.000 0.454